Ho3In2 | PBE | relaxed

Space-group type: No. 139
Formation energy from the elements (eV per atom): -0.37
Density of states at the Fermi level (states/eV per cell): 4.8

Geometry as extended XYZ:
```
5
Lattice="-1.762 1.762 11.057 1.762 -1.762 11.057 1.762 1.762 -11.057" Properties=species:S:1:pos:R:3 pbc="T T T"
Ho 0.000 0.000 0.000
Ho 0.000 0.000 4.253
Ho 0.000 0.000 17.860
In 0.000 0.000 8.930
In 0.000 0.000 13.183
```